# NiO2F (PBE+U, optimized geometry)
data_NiO2F
_cell_length_a 6.6943
_cell_length_b 6.6943
_cell_length_c 3.5835
_cell_angle_alpha 90.00
_cell_angle_beta 90.00
_cell_angle_gamma 90.00
_symmetry_space_group_name_H-M 'I -4 2 d'
_symmetry_Int_Tables_number 122
_symmetry_space_group_name_Hall 'I -4 2bw'
loop_
_atom_site_label
_atom_site_type_symbol
_atom_site_fract_x
_atom_site_fract_y
_atom_site_fract_z
Ni1 Ni 0.0000 0.0000 0.0000
O1 O 0.1996 0.7500 0.1250
F1 F 0.0000 0.0000 0.5000
# DOS at the Fermi energy = 7.5 states/eV/cell
# uncorrected energy = -3.809 eV per atom
# magnetic moment = 5.88 μB/cell